Entry 1:
# VFeReMo | Alexandria via LeMat-Bulk | PBE-GGA | relaxed
data_VFeReMo
_space_group_name_H-M_alt 'F -4 3 m'
_space_group_IT_number 216
_space_group_name_Hall 'F -4 2 3'
_cell_length_a 6.0805
_cell_length_b 6.0805
_cell_length_c 6.0805
_cell_angle_alpha 90.00
_cell_angle_beta 90.00
_cell_angle_gamma 90.00
loop_
_atom_site_label
_atom_site_type_symbol
_atom_site_fract_x
_atom_site_fract_y
_atom_site_fract_z
V1 V 0.0000 0.0000 0.0000
Fe1 Fe 0.2500 0.2500 0.2500
Re1 Re 0.2500 0.2500 0.7500
Mo1 Mo 0.0000 0.0000 0.5000
# Calculated formation energy, meV/atom: -48
# Spin magnetization, μB/f.u.: 1.74


Entry 2:
# Sr2CdH2O2 | Alexandria via LeMat-Bulk | PBE-GGA | relaxed
data_Sr2CdH2O2
_space_group_name_H-M_alt 'I 4/m m m'
_space_group_IT_number 139
_space_group_name_Hall '-I 4 2'
_cell_length_a 4.3701
_cell_length_b 4.3701
_cell_length_c 12.8058
_cell_angle_alpha 90.00
_cell_angle_beta 90.00
_cell_angle_gamma 90.00
loop_
_atom_site_label
_atom_site_type_symbol
_atom_site_fract_x
_atom_site_fract_y
_atom_site_fract_z
Sr1 Sr 0.0000 0.0000 0.1222
Cd1 Cd 0.0000 0.0000 0.5000
H1 H 0.0000 0.0000 0.3149
O1 O 0.0000 0.5000 0.0000
# Spin magnetization, μB/f.u.: 0.00
# Total energy, eV/atom: -4.194


Entry 3:
# Ca2Ga3Sn2 | Alexandria via LeMat-Bulk | PBE-GGA | relaxed
data_Ca2Ga3Sn2
_space_group_name_H-M_alt 'I 21 3'
_space_group_IT_number 199
_space_group_name_Hall 'I 2b 2c 3'
_cell_length_a 8.9726
_cell_length_b 8.9726
_cell_length_c 8.9726
_cell_angle_alpha 90.00
_cell_angle_beta 90.00
_cell_angle_gamma 90.00
loop_
_atom_site_label
_atom_site_type_symbol
_atom_site_fract_x
_atom_site_fract_y
_atom_site_fract_z
Ca1 Ca 0.0040 0.4960 0.5040
Ga1 Ga 0.0000 0.2500 0.2274
Sn1 Sn 0.1999 0.3001 0.6999
# Calculated formation energy, meV/atom: -256
# Spin magnetization, μB/f.u.: 0.00


Entry 4:
# AlTe2Se | Alexandria via LeMat-Bulk | PBE-GGA | relaxed
data_AlTe2Se
_space_group_name_H-M_alt 'P 4 m m'
_space_group_IT_number 99
_space_group_name_Hall 'P 4 -2'
_cell_length_a 3.9289
_cell_length_b 3.9289
_cell_length_c 9.0162
_cell_angle_alpha 90.00
_cell_angle_beta 90.00
_cell_angle_gamma 90.00
loop_
_atom_site_label
_atom_site_type_symbol
_atom_site_fract_x
_atom_site_fract_y
_atom_site_fract_z
Al1 Al 0.0000 0.0000 0.0000
Te1 Te 0.0000 0.0000 0.3084
Te2 Te 0.5000 0.5000 0.9153
Se1 Se 0.5000 0.5000 0.3625
# Spin magnetization, μB/f.u.: 0.00
# Total energy, eV/atom: -3.461